First-principles (PBE-GGA) data for a geometry-optimized SiTc2AsF structure, as listed in Alexandria.

## Properties
Magnetization: 0.000 μB/cell
Total DFT energy (no corrections): -5.670 eV/atom
Mass density: 6.96 Mg/m³

Cell lengths 4.182, 4.182, 4.338 Å; angles 90.00, 90.00, 90.00 degrees
Element x y z (fractional)
Si  0.000  0.000  0.000
Tc  0.000  0.500  0.500
Tc  0.500  0.000  0.500
As  0.500  0.500  0.000
F  0.500  0.500  0.500